Density functional theory data (PBE-GGA) for an optimized crystal structure of InNi2Ru.

The structure in CIF format:
```
data_InNi2Ru
_chemical_formula_sum 'In2 Ni4 Ru2'
_symmetry_space_group_name_H-M 'C m m m'
_symmetry_Int_Tables_number 65
_symmetry_space_group_name_Hall '-C 2 2'
_cell_length_a 5.513
_cell_length_b 7.252
_cell_length_c 2.794
_cell_angle_alpha 90.00
_cell_angle_beta 90.00
_cell_angle_gamma 90.00
loop_
_atom_site_label
_atom_site_type_symbol
_atom_site_fract_x
_atom_site_fract_y
_atom_site_fract_z
In1 In 0.000 0.000 0.000
Ni1 Ni 0.250 0.250 0.500
Ru1 Ru 0.000 0.500 0.000
```

---

Density functional theory data (PBE-GGA) for an optimized crystal structure of InNiRu2.

The structure in CIF format:
```
data_InNiRu2
_chemical_formula_sum 'In2 Ni2 Ru4'
_symmetry_space_group_name_H-M 'C 1 2/m 1'
_symmetry_Int_Tables_number 12
_cell_length_a 8.887
_cell_length_b 2.840
_cell_length_c 4.841
_cell_angle_alpha 90.00
_cell_angle_beta 101.89
_cell_angle_gamma 90.00
loop_
_symmetry_equiv_pos_as_xyz
'x,y,z'
'-x,-y,-z'
'-x,y,-z'
'x,-y,z'
'x+1/2,y+1/2,z'
'-x+1/2,-y+1/2,-z'
'-x+1/2,y+1/2,-z'
'x+1/2,-y+1/2,z'
loop_
_atom_site_label
_atom_site_type_symbol
_atom_site_fract_x
_atom_site_fract_y
_atom_site_fract_z
In1 In 0.000 0.000 0.000
Ni1 Ni 0.000 0.500 0.500
Ru1 Ru 0.239 0.000 0.715
```

---

Density functional theory data (PBE-GGA) for an optimized crystal structure of InNi2Ru.

The structure in CIF format:
```
data_InNi2Ru
_chemical_formula_sum 'In4 Ni8 Ru4'
_symmetry_space_group_name_H-M 'I -4 2 d'
_symmetry_Int_Tables_number 122
_symmetry_space_group_name_Hall 'I -4 2bw'
_cell_length_a 3.790
_cell_length_b 3.790
_cell_length_c 17.506
_cell_angle_alpha 90.00
_cell_angle_beta 90.00
_cell_angle_gamma 90.00
loop_
_atom_site_label
_atom_site_type_symbol
_atom_site_fract_x
_atom_site_fract_y
_atom_site_fract_z
In1 In 0.000 0.000 0.000
Ni1 Ni 0.217 0.250 0.625
Ru1 Ru 0.000 0.000 0.500
```

---

Density functional theory data (PBE-GGA) for an optimized crystal structure of InNi2Ru.

The structure in CIF format:
```
data_InNi2Ru
_chemical_formula_sum 'In2 Ni4 Ru2'
_symmetry_space_group_name_H-M 'I m m 2'
_symmetry_Int_Tables_number 44
_cell_length_a 2.889
_cell_length_b 4.394
_cell_length_c 8.778
_cell_angle_alpha 90.00
_cell_angle_beta 90.00
_cell_angle_gamma 90.00
loop_
_symmetry_equiv_pos_as_xyz
'x,y,z'
'-x,-y,z'
'-x,y,z'
'x,-y,z'
'x+1/2,y+1/2,z+1/2'
'-x+1/2,-y+1/2,z+1/2'
'-x+1/2,y+1/2,z+1/2'
'x+1/2,-y+1/2,z+1/2'
loop_
_atom_site_label
_atom_site_type_symbol
_atom_site_fract_x
_atom_site_fract_y
_atom_site_fract_z
In1 In 0.000 0.000 0.000
Ni1 Ni 0.000 0.000 0.520
Ni2 Ni 0.000 0.500 0.245
Ru1 Ru 0.000 0.500 0.774
```

---

Density functional theory data (PBE-GGA) for an optimized crystal structure of InNi2Ru.

The structure in CIF format:
```
data_InNi2Ru
_chemical_formula_sum 'In2 Ni4 Ru2'
_symmetry_space_group_name_H-M 'C 1 m 1'
_symmetry_Int_Tables_number 8
_cell_length_a 8.776
_cell_length_b 2.806
_cell_length_c 4.668
_cell_angle_alpha 90.00
_cell_angle_beta 102.09
_cell_angle_gamma 90.00
loop_
_symmetry_equiv_pos_as_xyz
'x,y,z'
'x,-y,z'
'x+1/2,y+1/2,z'
'x+1/2,-y+1/2,z'
loop_
_atom_site_label
_atom_site_type_symbol
_atom_site_fract_x
_atom_site_fract_y
_atom_site_fract_z
In1 In 0.000 0.000 0.000
Ni1 Ni 0.004 0.500 0.509
Ni2 Ni 0.247 0.000 0.752
Ru1 Ru 0.260 0.500 0.307
```

---

Density functional theory data (PBE-GGA) for an optimized crystal structure of InNiRu2.

The structure in CIF format:
```
data_InNiRu2
_chemical_formula_sum 'In1 Ni1 Ru2'
_symmetry_space_group_name_H-M 'P m m m'
_symmetry_Int_Tables_number 47
_cell_length_a 2.962
_cell_length_b 4.490
_cell_length_c 4.522
_cell_angle_alpha 90.00
_cell_angle_beta 90.00
_cell_angle_gamma 90.00
loop_
_symmetry_equiv_pos_as_xyz
'x,y,z'
'-x,-y,-z'
'-x,-y,z'
'x,y,-z'
'x,-y,-z'
'-x,y,z'
'-x,y,-z'
'x,-y,z'
loop_
_atom_site_label
_atom_site_type_symbol
_atom_site_fract_x
_atom_site_fract_y
_atom_site_fract_z
In1 In 0.000 0.000 0.000
Ni1 Ni 0.500 0.500 0.000
Ru1 Ru 0.000 0.500 0.500
Ru2 Ru 0.500 0.000 0.500
```

---

Density functional theory data (PBE-GGA) for an optimized crystal structure of InNiRu2.

The structure in CIF format:
```
data_InNiRu2
_chemical_formula_sum 'In2 Ni2 Ru4'
_symmetry_space_group_name_H-M 'C m m m'
_symmetry_Int_Tables_number 65
_symmetry_space_group_name_Hall '-C 2 2'
_cell_length_a 5.363
_cell_length_b 7.779
_cell_length_c 2.865
_cell_angle_alpha 90.00
_cell_angle_beta 90.00
_cell_angle_gamma 90.00
loop_
_atom_site_label
_atom_site_type_symbol
_atom_site_fract_x
_atom_site_fract_y
_atom_site_fract_z
In1 In 0.000 0.000 0.000
Ni1 Ni 0.000 0.500 0.000
Ru1 Ru 0.250 0.250 0.500
```

---

Density functional theory data (PBE-GGA) for an optimized crystal structure of InNiRu2.

The structure in CIF format:
```
data_InNiRu2
_chemical_formula_sum 'In4 Ni4 Ru8'
_symmetry_space_group_name_H-M 'F -4 3 m'
_symmetry_Int_Tables_number 216
_symmetry_space_group_name_Hall 'F -4 2 3'
_cell_length_a 6.199
_cell_length_b 6.199
_cell_length_c 6.199
_cell_angle_alpha 90.00
_cell_angle_beta 90.00
_cell_angle_gamma 90.00
loop_
_atom_site_label
_atom_site_type_symbol
_atom_site_fract_x
_atom_site_fract_y
_atom_site_fract_z
In1 In 0.000 0.000 0.000
Ni1 Ni 0.250 0.250 0.750
Ru1 Ru 0.000 0.000 0.500
Ru2 Ru 0.250 0.250 0.250
```

---

Density functional theory data (PBE-GGA) for an optimized crystal structure of InNiRu2.

The structure in CIF format:
```
data_InNiRu2
_chemical_formula_sum 'In1 Ni1 Ru2'
_symmetry_space_group_name_H-M 'P 1 m 1'
_symmetry_Int_Tables_number 6
_cell_length_a 2.834
_cell_length_b 3.688
_cell_length_c 5.702
_cell_angle_alpha 90.00
_cell_angle_beta 90.07
_cell_angle_gamma 90.00
loop_
_symmetry_equiv_pos_as_xyz
'x,y,z'
'x,-y,z'
loop_
_atom_site_label
_atom_site_type_symbol
_atom_site_fract_x
_atom_site_fract_y
_atom_site_fract_z
In1 In 0.000 0.000 0.000
Ni1 Ni 0.501 0.500 0.753
Ru1 Ru 0.000 0.000 0.509
Ru2 Ru 0.500 0.500 0.304
```

---

Density functional theory data (PBE-GGA) for an optimized crystal structure of InNiRu.

The structure in CIF format:
```
data_InNiRu
_chemical_formula_sum 'In4 Ni4 Ru4'
_symmetry_space_group_name_H-M 'C 1 2 1'
_symmetry_Int_Tables_number 5
_cell_length_a 4.830
_cell_length_b 8.299
_cell_length_c 4.845
_cell_angle_alpha 90.00
_cell_angle_beta 110.03
_cell_angle_gamma 90.00
loop_
_symmetry_equiv_pos_as_xyz
'x,y,z'
'-x,y,-z'
'x+1/2,y+1/2,z'
'-x+1/2,y+1/2,-z'
loop_
_atom_site_label
_atom_site_type_symbol
_atom_site_fract_x
_atom_site_fract_y
_atom_site_fract_z
In1 In 0.000 0.000 0.000
In2 In 0.000 0.198 0.500
Ni1 Ni 0.000 0.523 0.500
Ni2 Ni 0.000 0.836 0.500
Ru1 Ru 0.000 0.352 0.000
Ru2 Ru 0.000 0.669 0.000
```

---

# InNi3Ru, optimized geometry, DFT PBE-GGA
data_InNi3Ru
_chemical_formula_sum 'In1 Ni3 Ru1'
_symmetry_space_group_name_H-M 'P m -3 m'
_symmetry_Int_Tables_number 221
_symmetry_space_group_name_Hall '-P 4 2 3'
_cell_length_a 4.509
_cell_length_b 4.509
_cell_length_c 4.509
_cell_angle_alpha 90.00
_cell_angle_beta 90.00
_cell_angle_gamma 90.00
loop_
_atom_site_label
_atom_site_type_symbol
_atom_site_fract_x
_atom_site_fract_y
_atom_site_fract_z
In1 In 0.000 0.000 0.000
Ni1 Ni 0.000 0.500 0.500
Ru1 Ru 0.500 0.500 0.500
# Polymorph energy (0 for the lowest one) ... 0.000 eV per atom

---

Density functional theory data (PBE-GGA) for an optimized crystal structure of InNiRu.

The structure in CIF format:
```
data_InNiRu
_chemical_formula_sum 'In1 Ni1 Ru1'
_symmetry_space_group_name_H-M 'P 3 m 1'
_symmetry_Int_Tables_number 156
_cell_length_a 4.3176
_cell_length_b 4.3176
_cell_length_c 2.8782
_cell_angle_alpha 90.00
_cell_angle_beta 90.00
_cell_angle_gamma 120.00
loop_
_symmetry_equiv_pos_as_xyz
'x,y,z'
'-y,x-y,z'
'-x+y,-x,z'
'-y,-x,z'
'-x+y,y,z'
'x,x-y,z'
loop_
_atom_site_label
_atom_site_type_symbol
_atom_site_fract_x
_atom_site_fract_y
_atom_site_fract_z
In1 In 0.0000 0.0000 0.0000
Ni1 Ni 0.6667 0.3333 0.2491
Ru1 Ru 0.3333 0.6667 0.5621
```

---

Density functional theory data (PBE-GGA) for an optimized crystal structure of InNi2Ru.

The structure in CIF format:
```
data_InNi2Ru
_chemical_formula_sum 'In1 Ni2 Ru1'
_symmetry_space_group_name_H-M 'P 4 m m'
_symmetry_Int_Tables_number 99
_cell_length_a 3.061
_cell_length_b 3.061
_cell_length_c 5.982
_cell_angle_alpha 90.00
_cell_angle_beta 90.00
_cell_angle_gamma 90.00
loop_
_symmetry_equiv_pos_as_xyz
'x,y,z'
'-y,x,z'
'-x,-y,z'
'y,-x,z'
'-x,y,z'
'y,x,z'
'x,-y,z'
'-y,-x,z'
loop_
_atom_site_label
_atom_site_type_symbol
_atom_site_fract_x
_atom_site_fract_y
_atom_site_fract_z
In1 In 0.000 0.000 0.000
Ni1 Ni 0.000 0.000 0.478
Ni2 Ni 0.500 0.500 0.264
Ru1 Ru 0.500 0.500 0.692
```

---

Density functional theory data (PBE-GGA) for an optimized crystal structure of InNiRu2.

The structure in CIF format:
```
data_InNiRu2
_chemical_formula_sum 'In1 Ni1 Ru2'
_symmetry_space_group_name_H-M 'P 1 2/m 1'
_symmetry_Int_Tables_number 10
_cell_length_a 2.811
_cell_length_b 4.258
_cell_length_c 5.199
_cell_angle_alpha 90.00
_cell_angle_beta 104.24
_cell_angle_gamma 90.00
loop_
_symmetry_equiv_pos_as_xyz
'x,y,z'
'-x,-y,-z'
'-x,y,-z'
'x,-y,z'
loop_
_atom_site_label
_atom_site_type_symbol
_atom_site_fract_x
_atom_site_fract_y
_atom_site_fract_z
In1 In 0.000 0.000 0.000
Ni1 Ni 0.000 0.000 0.500
Ru1 Ru 0.372 0.500 0.721
```

---

Density functional theory data (PBE-GGA) for an optimized crystal structure of InNi2Ru.

The structure in CIF format:
```
data_InNi2Ru
_chemical_formula_sum 'In1 Ni2 Ru1'
_symmetry_space_group_name_H-M 'P 4/m m m'
_symmetry_Int_Tables_number 123
_symmetry_space_group_name_Hall '-P 4 2'
_cell_length_a 3.863
_cell_length_b 3.863
_cell_length_c 3.768
_cell_angle_alpha 90.00
_cell_angle_beta 90.00
_cell_angle_gamma 90.00
loop_
_atom_site_label
_atom_site_type_symbol
_atom_site_fract_x
_atom_site_fract_y
_atom_site_fract_z
In1 In 0.000 0.000 0.000
Ni1 Ni 0.000 0.500 0.500
Ru1 Ru 0.500 0.500 0.000
```

---

Density functional theory data (PBE-GGA) for an optimized crystal structure of InNiRu2.

The structure in CIF format:
```
data_InNiRu2
_chemical_formula_sum 'In3 Ni3 Ru6'
_symmetry_space_group_name_H-M 'R 3 m'
_symmetry_Int_Tables_number 160
_symmetry_space_group_name_Hall 'R 3 -2"'
_cell_length_a 2.8345
_cell_length_b 2.8345
_cell_length_c 25.9125
_cell_angle_alpha 90.00
_cell_angle_beta 90.00
_cell_angle_gamma 120.00
loop_
_atom_site_label
_atom_site_type_symbol
_atom_site_fract_x
_atom_site_fract_y
_atom_site_fract_z
In1 In 0.0000 0.0000 0.0000
Ni1 Ni 0.0000 0.0000 0.7505
Ru1 Ru 0.0000 0.0000 0.2417
Ru2 Ru 0.0000 0.0000 0.4965
```

---

Density functional theory data (PBE-GGA) for an optimized crystal structure of InNiRu.

The structure in CIF format:
```
data_InNiRu
_chemical_formula_sum 'In4 Ni4 Ru4'
_symmetry_space_group_name_H-M 'C 1 2/c 1'
_symmetry_Int_Tables_number 15
_cell_length_a 4.736
_cell_length_b 8.672
_cell_length_c 4.616
_cell_angle_alpha 90.00
_cell_angle_beta 104.92
_cell_angle_gamma 90.00
loop_
_symmetry_equiv_pos_as_xyz
'x,y,z'
'-x,-y,-z'
'-x,y,-z+1/2'
'x,-y,z+1/2'
'x+1/2,y+1/2,z'
'-x+1/2,-y+1/2,-z'
'-x+1/2,y+1/2,-z+1/2'
'x+1/2,-y+1/2,z+1/2'
loop_
_atom_site_label
_atom_site_type_symbol
_atom_site_fract_x
_atom_site_fract_y
_atom_site_fract_z
In1 In 0.000 0.234 0.250
Ni1 Ni 0.000 0.081 0.750
Ru1 Ru 0.000 0.441 0.750
```

---

Density functional theory data (PBE-GGA) for an optimized crystal structure of InNi2Ru.

The structure in CIF format:
```
data_InNi2Ru
_chemical_formula_sum 'In1 Ni2 Ru1'
_symmetry_space_group_name_H-M 'P 4/m m m'
_symmetry_Int_Tables_number 123
_symmetry_space_group_name_Hall '-P 4 2'
_cell_length_a 3.116
_cell_length_b 3.116
_cell_length_c 5.804
_cell_angle_alpha 90.00
_cell_angle_beta 90.00
_cell_angle_gamma 90.00
loop_
_atom_site_label
_atom_site_type_symbol
_atom_site_fract_x
_atom_site_fract_y
_atom_site_fract_z
In1 In 0.000 0.000 0.000
Ni1 Ni 0.500 0.500 0.278
Ru1 Ru 0.000 0.000 0.500
```

---

Density functional theory data (PBE-GGA) for an optimized crystal structure of InNiRu.

The structure in CIF format:
```
data_InNiRu
_chemical_formula_sum 'In4 Ni4 Ru4'
_symmetry_space_group_name_H-M 'C 1 2 1'
_symmetry_Int_Tables_number 5
_cell_length_a 8.204
_cell_length_b 4.828
_cell_length_c 5.434
_cell_angle_alpha 90.00
_cell_angle_beta 122.11
_cell_angle_gamma 90.00
loop_
_symmetry_equiv_pos_as_xyz
'x,y,z'
'-x,y,-z'
'x+1/2,y+1/2,z'
'-x+1/2,y+1/2,-z'
loop_
_atom_site_label
_atom_site_type_symbol
_atom_site_fract_x
_atom_site_fract_y
_atom_site_fract_z
In1 In 0.000 0.000 0.000
In2 In 0.000 0.206 0.500
Ni1 Ni 0.162 0.688 0.505
Ru1 Ru 0.166 0.509 0.012
```

---

Density functional theory data (PBE-GGA) for an optimized crystal structure of InNiRu.

The structure in CIF format:
```
data_InNiRu
_chemical_formula_sum 'In2 Ni2 Ru2'
_symmetry_space_group_name_H-M 'P 3 m 1'
_symmetry_Int_Tables_number 156
_cell_length_a 4.3990
_cell_length_b 4.3990
_cell_length_c 5.4297
_cell_angle_alpha 90.00
_cell_angle_beta 90.00
_cell_angle_gamma 120.00
loop_
_symmetry_equiv_pos_as_xyz
'x,y,z'
'-y,x-y,z'
'-x+y,-x,z'
'-y,-x,z'
'-x+y,y,z'
'x,x-y,z'
loop_
_atom_site_label
_atom_site_type_symbol
_atom_site_fract_x
_atom_site_fract_y
_atom_site_fract_z
In1 In 0.0000 0.0000 0.0000
In2 In 0.3333 0.6667 0.3639
Ni1 Ni 0.0000 0.0000 0.5190
Ni2 Ni 0.6667 0.3333 0.6768
Ru1 Ru 0.3333 0.6667 0.8431
Ru2 Ru 0.6667 0.3333 0.1853
```

---

no.,ΔE_f (meV/atom),total magnetization (μB per formula unit)
1,147,1.06
2,205,0.00
3,516,1.32
4,158,0.00
5,130,0.01
6,307,1.87
7,337,0.00
8,284,0.02
9,110,0.00
10,151,0.00
11,1058,0.00
12,276,1.69
13,115,0.00
14,311,0.01
15,129,1.43
16,293,0.00
17,159,0.00
18,131,0.00
19,159,0.56
20,161,0.58